1.
# FeCuSe | Alexandria | GGA-PBE | optimized geometry
data_FeCuSe
_chemical_formula_sum 'Fe1 Cu1 Se1'
_symmetry_space_group_name_H-M 'P 1'
_symmetry_Int_Tables_number 1
_symmetry_space_group_name_Hall 'P 1'
_cell_length_a 4.8315
_cell_length_b 4.8315
_cell_length_c 4.8315
_cell_angle_alpha 142.86
_cell_angle_beta 142.86
_cell_angle_gamma 53.54
loop_
_atom_site_label
_atom_site_type_symbol
_atom_site_fract_x
_atom_site_fract_y
_atom_site_fract_z
_atom_site_occupancy
Se1 Se 0.6916 0.6916 0.0000 1
Fe1 Fe 0.3136 0.3136 0.0000 1
Cu1 Cu 0.9948 0.9948 0.0000 1
# - density of states at the Fermi level (states/eV/cell) = 1.92
# - volume (Å³/cell) = 40.9
# - E_form (uncorrected) (eV/atom) = 0.2564

2.
# FeCuSe | Alexandria | GGA-PBE | optimized geometry
data_FeCuSe
_chemical_formula_sum 'Fe2 Cu2 Se2'
_symmetry_space_group_name_H-M 'P 1'
_symmetry_Int_Tables_number 1
_symmetry_space_group_name_Hall 'P 1'
_cell_length_a 3.8686
_cell_length_b 3.8686
_cell_length_c 5.5956
_cell_angle_alpha 90.00
_cell_angle_beta 90.00
_cell_angle_gamma 90.00
loop_
_atom_site_label
_atom_site_type_symbol
_atom_site_fract_x
_atom_site_fract_y
_atom_site_fract_z
_atom_site_occupancy
Se1 Se 0.0000 0.5000 0.2511 1
Se2 Se 0.5000 0.0000 0.7489 1
Cu1 Cu 0.0000 0.5000 0.8155 1
Cu2 Cu 0.5000 0.0000 0.1845 1
Fe1 Fe 0.0000 0.0000 0.5000 1
Fe2 Fe 0.5000 0.5000 0.5000 1
# - density of states at the Fermi level (states/eV/cell) = 6.62
# - volume (Å³/cell) = 83.7
# - E_form (uncorrected) (eV/atom) = 0.0809

3.
# FeCuSe3 | Alexandria | GGA-PBE | optimized geometry
data_FeCuSe3
_chemical_formula_sum 'Fe1 Cu1 Se3'
_symmetry_space_group_name_H-M 'P 1'
_symmetry_Int_Tables_number 1
_symmetry_space_group_name_Hall 'P 1'
_cell_length_a 4.6681
_cell_length_b 4.6681
_cell_length_c 4.6681
_cell_angle_alpha 90.00
_cell_angle_beta 90.00
_cell_angle_gamma 90.00
loop_
_atom_site_label
_atom_site_type_symbol
_atom_site_fract_x
_atom_site_fract_y
_atom_site_fract_z
_atom_site_occupancy
Fe1 Fe 0.0000 0.0000 0.0000 1
Se1 Se 0.5000 0.0000 0.0000 1
Se2 Se 0.0000 0.5000 0.0000 1
Se3 Se 0.0000 0.0000 0.5000 1
Cu1 Cu 0.5000 0.5000 0.5000 1
# - density of states at the Fermi level (states/eV/cell) = 7.77
# - volume (Å³/cell) = 101.7
# - E_form (uncorrected) (eV/atom) = 0.6183

4.
# FeCuSe | Alexandria | GGA-PBE | optimized geometry
data_FeCuSe
_chemical_formula_sum 'Fe1 Cu1 Se1'
_symmetry_space_group_name_H-M 'P 1'
_symmetry_Int_Tables_number 1
_symmetry_space_group_name_Hall 'P 1'
_cell_length_a 4.0503
_cell_length_b 4.0503
_cell_length_c 4.0503
_cell_angle_alpha 60.00
_cell_angle_beta 60.00
_cell_angle_gamma 60.00
loop_
_atom_site_label
_atom_site_type_symbol
_atom_site_fract_x
_atom_site_fract_y
_atom_site_fract_z
_atom_site_occupancy
Fe1 Fe 0.7500 0.7500 0.7500 1
Se1 Se 0.0000 0.0000 0.0000 1
Cu1 Cu 0.5000 0.5000 0.5000 1
# - density of states at the Fermi level (states/eV/cell) = 4.38
# - volume (Å³/cell) = 47.0
# - E_form (uncorrected) (eV/atom) = 0.1899

5.
# FeCu3Se4 | Alexandria | GGA-PBE | optimized geometry
data_FeCu3Se4
_chemical_formula_sum 'Fe2 Cu6 Se8'
_symmetry_space_group_name_H-M 'P 1'
_symmetry_Int_Tables_number 1
_symmetry_space_group_name_Hall 'P 1'
_cell_length_a 6.5296
_cell_length_b 6.6575
_cell_length_c 7.7248
_cell_angle_alpha 90.00
_cell_angle_beta 90.00
_cell_angle_gamma 90.00
loop_
_atom_site_label
_atom_site_type_symbol
_atom_site_fract_x
_atom_site_fract_y
_atom_site_fract_z
_atom_site_occupancy
Cu1 Cu 0.4967 0.8381 0.0000 1
Cu2 Cu 0.4952 0.3314 0.7491 1
Cu3 Cu 0.9967 0.1619 0.5000 1
Cu4 Cu 0.4952 0.3314 0.2509 1
Cu5 Cu 0.9952 0.6686 0.7509 1
Cu6 Cu 0.9952 0.6686 0.2491 1
Se1 Se 0.6296 0.1577 0.5000 1
Se2 Se 0.6285 0.6682 0.2522 1
Se3 Se 0.1285 0.3318 0.2478 1
Se4 Se 0.1285 0.3318 0.7522 1
Se5 Se 0.1417 0.8287 0.5000 1
Se6 Se 0.1296 0.8423 0.0000 1
Se7 Se 0.6285 0.6682 0.7478 1
Se8 Se 0.6417 0.1713 0.0000 1
Fe1 Fe 0.9999 0.1701 0.0000 1
Fe2 Fe 0.4999 0.8299 0.5000 1
# - density of states at the Fermi level (states/eV/cell) = 7.19
# - volume (Å³/cell) = 335.8
# - E_form (uncorrected) (eV/atom) = -0.1767

6.
# FeCuSe | Alexandria | GGA-PBE | optimized geometry
data_FeCuSe
_chemical_formula_sum 'Fe1 Cu1 Se1'
_symmetry_space_group_name_H-M 'P 1'
_symmetry_Int_Tables_number 1
_symmetry_space_group_name_Hall 'P 1'
_cell_length_a 3.9775
_cell_length_b 3.9775
_cell_length_c 3.2188
_cell_angle_alpha 90.00
_cell_angle_beta 90.00
_cell_angle_gamma 120.00
loop_
_atom_site_label
_atom_site_type_symbol
_atom_site_fract_x
_atom_site_fract_y
_atom_site_fract_z
_atom_site_occupancy
Fe1 Fe 0.3333 0.6667 0.4999 1
Se1 Se 0.6667 0.3333 0.5005 1
Cu1 Cu 0.0000 0.0000 0.9997 1
# - density of states at the Fermi level (states/eV/cell) = 2.34
# - volume (Å³/cell) = 44.1
# - E_form (uncorrected) (eV/atom) = 0.2959

7.
# FeCu3Se | Alexandria | GGA-PBE | optimized geometry
data_FeCu3Se
_chemical_formula_sum 'Fe1 Cu3 Se1'
_symmetry_space_group_name_H-M 'P 1'
_symmetry_Int_Tables_number 1
_symmetry_space_group_name_Hall 'P 1'
_cell_length_a 4.4773
_cell_length_b 4.4773
_cell_length_c 4.4773
_cell_angle_alpha 90.00
_cell_angle_beta 90.00
_cell_angle_gamma 90.00
loop_
_atom_site_label
_atom_site_type_symbol
_atom_site_fract_x
_atom_site_fract_y
_atom_site_fract_z
_atom_site_occupancy
Cu1 Cu 0.5000 0.0000 0.0000 1
Cu2 Cu 0.0000 0.0000 0.5000 1
Cu3 Cu 0.0000 0.5000 0.0000 1
Fe1 Fe 0.0000 0.0000 0.0000 1
Se1 Se 0.5000 0.5000 0.5000 1
# - density of states at the Fermi level (states/eV/cell) = 1.25
# - volume (Å³/cell) = 89.8
# - E_form (uncorrected) (eV/atom) = 1.0039

8.
# FeCuSe | Alexandria | GGA-PBE | optimized geometry
data_FeCuSe
_chemical_formula_sum 'Fe1 Cu1 Se1'
_symmetry_space_group_name_H-M 'P 1'
_symmetry_Int_Tables_number 1
_symmetry_space_group_name_Hall 'P 1'
_cell_length_a 3.0078
_cell_length_b 3.0078
_cell_length_c 5.7789
_cell_angle_alpha 90.00
_cell_angle_beta 90.00
_cell_angle_gamma 120.00
loop_
_atom_site_label
_atom_site_type_symbol
_atom_site_fract_x
_atom_site_fract_y
_atom_site_fract_z
_atom_site_occupancy
Fe1 Fe 0.3333 0.6667 0.3486 1
Cu1 Cu 0.0000 0.0000 0.0257 1
Se1 Se 0.6667 0.3333 0.6257 1
# - density of states at the Fermi level (states/eV/cell) = 2.85
# - volume (Å³/cell) = 45.3
# - E_form (uncorrected) (eV/atom) = 0.2588

9.
# FeCuSiSe | Alexandria | GGA-PBE | optimized geometry
data_FeCuSiSe
_chemical_formula_sum 'Fe1 Cu1 Si1 Se1'
_symmetry_space_group_name_H-M 'P 1'
_symmetry_Int_Tables_number 1
_symmetry_space_group_name_Hall 'P 1'
_cell_length_a 2.7787
_cell_length_b 2.7788
_cell_length_c 7.8331
_cell_angle_alpha 90.00
_cell_angle_beta 90.10
_cell_angle_gamma 90.00
loop_
_atom_site_label
_atom_site_type_symbol
_atom_site_fract_x
_atom_site_fract_y
_atom_site_fract_z
_atom_site_occupancy
Cu1 Cu 0.8723 0.5000 0.2948 1
Si1 Si 0.8702 0.5000 0.9410 1
Se1 Se 0.8677 0.5000 0.6248 1
Fe1 Fe 0.3708 0.0000 0.0831 1
# - density of states at the Fermi level (states/eV/cell) = 2.96
# - volume (Å³/cell) = 60.5
# - E_form (uncorrected) (eV/atom) = 0.0383

10.
# FeCuSiSe | Alexandria | GGA-PBE | optimized geometry
data_FeCuSiSe
_chemical_formula_sum 'Fe2 Cu2 Si2 Se2'
_symmetry_space_group_name_H-M 'P 1'
_symmetry_Int_Tables_number 1
_symmetry_space_group_name_Hall 'P 1'
_cell_length_a 2.7501
_cell_length_b 3.6188
_cell_length_c 11.7976
_cell_angle_alpha 90.00
_cell_angle_beta 90.00
_cell_angle_gamma 90.00
loop_
_atom_site_label
_atom_site_type_symbol
_atom_site_fract_x
_atom_site_fract_y
_atom_site_fract_z
_atom_site_occupancy
Cu1 Cu 0.5000 0.5000 0.8258 1
Cu2 Cu 0.5000 0.0000 0.3258 1
Se1 Se 0.0000 0.0000 0.7074 1
Se2 Se 0.0000 0.5000 0.2074 1
Fe1 Fe 0.0000 0.5000 0.0119 1
Fe2 Fe 0.0000 0.0000 0.5119 1
Si1 Si 0.5000 0.5000 0.4830 1
Si2 Si 0.5000 0.0000 0.9830 1
# - density of states at the Fermi level (states/eV/cell) = 3.79
# - volume (Å³/cell) = 117.4
# - E_form (uncorrected) (eV/atom) = -0.0563

11.
# FeCuSiSe | Alexandria | GGA-PBE | optimized geometry
data_FeCuSiSe
_chemical_formula_sum 'Fe2 Cu2 Si2 Se2'
_symmetry_space_group_name_H-M 'P 1'
_symmetry_Int_Tables_number 1
_symmetry_space_group_name_Hall 'P 1'
_cell_length_a 4.6483
_cell_length_b 3.8733
_cell_length_c 6.9585
_cell_angle_alpha 90.00
_cell_angle_beta 92.67
_cell_angle_gamma 90.00
loop_
_atom_site_label
_atom_site_type_symbol
_atom_site_fract_x
_atom_site_fract_y
_atom_site_fract_z
_atom_site_occupancy
Cu1 Cu 0.7014 0.5000 0.8590 1
Cu2 Cu 0.7014 0.0000 0.3590 1
Fe1 Fe 0.9471 0.0000 0.0442 1
Fe2 Fe 0.9471 0.5000 0.5442 1
Si1 Si 0.9779 0.0000 0.7101 1
Si2 Si 0.9779 0.5000 0.2101 1
Se1 Se 0.4299 0.0000 0.9698 1
Se2 Se 0.4299 0.5000 0.4698 1
# - density of states at the Fermi level (states/eV/cell) = 4.38
# - volume (Å³/cell) = 125.1
# - E_form (uncorrected) (eV/atom) = 0.0194

12.
# FeCuSiSe | Alexandria | GGA-PBE | optimized geometry
data_FeCuSiSe
_chemical_formula_sum 'Fe2 Cu2 Si2 Se2'
_symmetry_space_group_name_H-M 'P 1'
_symmetry_Int_Tables_number 1
_symmetry_space_group_name_Hall 'P 1'
_cell_length_a 5.3128
_cell_length_b 3.3598
_cell_length_c 7.9459
_cell_angle_alpha 90.00
_cell_angle_beta 123.31
_cell_angle_gamma 90.00
loop_
_atom_site_label
_atom_site_type_symbol
_atom_site_fract_x
_atom_site_fract_y
_atom_site_fract_z
_atom_site_occupancy
Fe1 Fe 0.1460 0.0000 0.4929 1
Fe2 Fe 0.1460 0.5000 0.9929 1
Cu1 Cu 0.6371 0.5000 0.6618 1
Cu2 Cu 0.6371 0.0000 0.1618 1
Se1 Se 0.2531 0.0000 0.8215 1
Se2 Se 0.2531 0.5000 0.3215 1
Si1 Si 0.7975 0.5000 0.4126 1
Si2 Si 0.7975 0.0000 0.9126 1
# - density of states at the Fermi level (states/eV/cell) = 5.93
# - volume (Å³/cell) = 118.5
# - E_form (uncorrected) (eV/atom) = 0.0960